Record 1
Ba2Y2Mn: relaxed, PBE.

Properties
D(E_F)	6.98	states/eV/f.u.
E_form	0.632	eV per atom

Cell: 4.4568 4.4568 21.5216 Å, 90.00 90.00 90.00°
Space group I4/mmm (No. 139)
One atom of each set of equivalent atoms:
Ba 0.0000 0.0000 0.0907 x4
Y 0.0000 0.5000 0.2500 x4
Mn 0.0000 0.0000 0.5000 x2

---

Record 2
SiTcW2: relaxed, PBE.

Properties
D(E_F)	3.11	states/eV/f.u.
formation energy from raw total energies	-3.8	kJ per mole of atoms

Cell: 3.1136 4.2685 8.8565 Å, 90.00 90.00 90.00°
Space group Imm2 (No. 44)
One atom of each set of equivalent atoms:
Si 0.0000 0.0000 0.0000 x2
Tc 0.0000 0.5000 0.2637 x2
W 0.0000 0.0000 0.5070 x2
W 0.0000 0.5000 0.7485 x2

---

Record 3
ZrTlRu2: relaxed, PBE.

Properties
D(E_F)	3.18	states/eV/f.u.
offset from the most stable computed form	0.2376	eV/atom
E_form	0.141	eV per atom

Cell: 2.9568 2.9568 8.2928 Å, 90.00 90.00 90.00°
Space group P4mm (No. 99)
One atom of each set of equivalent atoms:
Zr 0.0000 0.0000 0.0000 x1
Tl 0.5000 0.5000 0.6983 x1
Ru 0.0000 0.0000 0.4428 x1
Ru 0.5000 0.5000 0.2559 x1